The following is a DFT calculation (PBE) of crystalline CsYSe2O8 at its relaxed geometry.

Cell lengths 5.545, 5.545, 9.180 Å; angles 90.00, 90.00, 120.00 degrees
Sites, in units of the cell vectors:
Cs1 0.000 0.000 0.000
Y1 0.000 0.000 0.500
Se1 0.333 0.667 0.714
Se2 0.667 0.333 0.286
O1 0.085 0.357 0.651
O2 0.272 0.915 0.651
O3 0.333 0.667 0.893
O4 0.357 0.272 0.349
O5 0.643 0.728 0.651
O6 0.667 0.333 0.107
O7 0.728 0.085 0.349
O8 0.915 0.643 0.349

Summary:
The value obtained for the raw formation energy is -1.56 eV/atom. Its mass density is 3.450 Mg/m³. The space group is P-3 (147). As for the size of the total moment: 0.000 μB per cell.

The following is a DFT calculation (PBE) of crystalline CsZnSe2O8 at its relaxed geometry.

Cell lengths 5.236, 5.236, 9.078 Å; angles 90.00, 90.00, 120.00 degrees
Sites, in units of the cell vectors:
Cs1 0.000 0.000 0.000
Zn1 0.000 0.000 0.500
Se1 0.333 0.667 0.692
Se2 0.667 0.333 0.308
O1 0.050 0.339 0.639
O2 0.289 0.950 0.639
O3 0.333 0.667 0.876
O4 0.339 0.289 0.361
O5 0.661 0.711 0.639
O6 0.667 0.333 0.124
O7 0.711 0.050 0.361
O8 0.950 0.661 0.361

Summary:
The value obtained for the raw formation energy is -0.88 eV/atom. Its mass density is 3.730 Mg/m³. The space group is P-3 (147). As for the size of the total moment: 1.128 μB per cell.

The following is a DFT calculation (PBE) of crystalline Cs2Zn2Se2O at its relaxed geometry.

Cell lengths 6.705, 6.705, 8.429 Å; angles 119.43, 119.43, 36.52 degrees
Sites, in units of the cell vectors:
Cs1 0.055 0.055 0.310
Cs2 0.945 0.945 0.690
Zn1 0.332 0.332 0.942
Zn2 0.668 0.668 0.058
Se1 0.294 0.294 0.218
Se2 0.706 0.706 0.782
O1 0.500 0.500 0.000

Summary:
The value obtained for the raw formation energy is -1.10 eV/atom. Its mass density is 4.910 Mg/m³. The space group is C2/m (12). As for the size of the total moment: 0.000 μB per cell.

The following is a DFT calculation (PBE) of crystalline CsZrSeO5 at its relaxed geometry.

Cell lengths 6.363, 6.363, 7.894 Å; angles 105.05, 105.05, 105.66 degrees
Sites, in units of the cell vectors:
Cs1 0.166 0.834 0.750
Cs2 0.834 0.166 0.250
Zr1 0.500 0.500 0.000
Zr2 0.500 0.500 0.500
Se1 0.192 0.808 0.250
Se2 0.808 0.192 0.750
O1 0.117 0.294 0.896
O2 0.221 0.623 0.383
O3 0.294 0.117 0.396
O4 0.377 0.779 0.117
O5 0.449 0.551 0.750
O6 0.551 0.449 0.250
O7 0.623 0.221 0.883
O8 0.706 0.883 0.604
O9 0.779 0.377 0.617
O10 0.883 0.706 0.104

Summary:
The value obtained for the raw formation energy is -1.69 eV/atom. Its mass density is 4.579 Mg/m³. The space group is C2/c (15). As for the size of the total moment: 0.000 μB per cell.

The following is a DFT calculation (PBE) of crystalline CsZrSe2O8 at its relaxed geometry.

Cell lengths 5.441, 5.441, 8.976 Å; angles 93.37, 93.37, 64.31 degrees
Sites, in units of the cell vectors:
Cs1 0.000 0.000 0.000
Zr1 0.000 0.000 0.500
Se1 0.368 0.368 0.692
Se2 0.632 0.632 0.308
O1 0.225 0.225 0.554
O2 0.226 0.722 0.669
O3 0.278 0.774 0.331
O4 0.316 0.316 0.865
O5 0.684 0.684 0.135
O6 0.722 0.226 0.669
O7 0.774 0.278 0.331
O8 0.775 0.775 0.446

Summary:
The value obtained for the raw formation energy is -1.42 eV/atom. Its mass density is 3.546 Mg/m³. The space group is C2/m (12). As for the size of the total moment: 0.000 μB per cell.

The following is a DFT calculation (PBE) of crystalline CsSiO3 at its relaxed geometry.

Cell lengths 4.430, 4.430, 4.430 Å; angles 90.00, 90.00, 90.00 degrees
Sites, in units of the cell vectors:
Cs1 0.000 0.000 0.000
Si1 0.500 0.500 0.500
O1 0.000 0.000 0.500
O2 0.000 0.500 0.000
O3 0.500 0.000 0.000

Summary:
The value obtained for the raw formation energy is 0.98 eV/atom. Its mass density is 3.991 Mg/m³. The space group is Pm-3m (221). As for the size of the total moment: 0.000 μB per cell.